No. 1
Computed, not measured: an optimized crystal structure of DyGe2O4 at the PBE-GGA level of DFT.

Lattice parameters (Å, degrees): 7.1420 7.1420 5.9546 90.00 90.00 90.00
Space group I4/m (No. 87)
Inequivalent atoms, fractional coordinates:
Dy 0.0000 0.0000 0.0000 x2
Ge 0.0000 0.5000 0.2500 x4
O 0.0013 0.3149 0.0000 x8

## Properties
The value obtained for the theoretical density is 4.07 Mg/m³. The density of states at the Fermi level comes out at 6.97 states/eV per cell. The uncorrected formation energy is -1.43 eV per atom.

No. 2
Computed, not measured: an optimized crystal structure of Cd2TcBr at the PBE-GGA level of DFT.

Lattice parameters (Å, degrees): 4.2676 4.2676 9.2331 90.00 90.00 90.00
Space group I-4m2 (No. 119)
Inequivalent atoms, fractional coordinates:
Cd 0.0000 0.0000 0.0000 x2
Cd 0.0000 0.5000 0.2500 x2
Tc 0.0000 0.5000 0.7500 x2
Br 0.0000 0.0000 0.5000 x2

## Properties
The value obtained for the theoretical density is 7.95 Mg/m³. The value obtained for the energy relative to the lowest polymorph listed for this composition is 0.413 eV per atom. The density of states at the Fermi level comes out at 6.37 states/eV per cell. The uncorrected formation energy is 0.66 eV per atom.

No. 3
Computed, not measured: an optimized crystal structure of KAcPm at the PBE-GGA level of DFT.

Lattice parameters (Å, degrees): 11.7109 3.7447 14.3095 90.00 112.48 90.00
Space group C2/m (No. 12)
Inequivalent atoms, fractional coordinates:
K 0.0803 0.0000 0.3991 x4
Ac 0.2268 0.5000 0.2049 x4
Pm 0.1115 0.5000 0.9352 x4

## Properties
The value obtained for the theoretical density is 4.71 Mg/m³. The density of states at the Fermi level comes out at 16.97 states/eV per cell. The calculation puts the energy relative to the elements at 0.331 eV per atom.

No. 4
Computed, not measured: an optimized crystal structure of Pr4US5 at the PBE-GGA level of DFT.

Lattice parameters (Å, degrees): 4.0312 5.7316 20.4854 90.00 90.00 90.00
Space group Immm (No. 71)
Inequivalent atoms, fractional coordinates:
Pr 0.0000 0.0000 0.1000 x4
Pr 0.0000 0.0000 0.3059 x4
U 0.0000 0.0000 0.5000 x2
S 0.0000 0.5000 0.0935 x4
S 0.0000 0.5000 0.2974 x4
S 0.0000 0.5000 0.5000 x2

## Properties
The value obtained for the theoretical density is 6.75 Mg/m³. The density of states at the Fermi level comes out at 20.86 states/eV per cell. The uncorrected formation energy is -1.87 eV per atom.

No. 5
Computed, not measured: an optimized crystal structure of SrLiRe2Hg at the PBE-GGA level of DFT.

Lattice parameters (Å, degrees): 4.4593 4.4593 4.8546 90.00 90.00 90.00
Space group P4/mmm (No. 123)
Inequivalent atoms, fractional coordinates:
Sr 0.0000 0.0000 0.0000 x1
Li 0.5000 0.5000 0.5000 x1
Re 0.0000 0.5000 0.5000 x2
Hg 0.5000 0.5000 0.0000 x1

## Properties
The value obtained for the theoretical density is 11.48 Mg/m³. The density of states at the Fermi level comes out at 5.74 states/eV per cell. The calculation puts the energy relative to the elements at 1.341 eV per atom.

No. 6
Computed, not measured: an optimized crystal structure of LaCrW at the PBE-GGA level of DFT.

Lattice parameters (Å, degrees): 3.1359 3.1359 7.0815 90.00 90.00 120.00
Space group P3m1 (No. 156)
Inequivalent atoms, fractional coordinates:
La 0.0000 0.0000 0.0000 x1
Cr 0.3333 0.6667 0.6253 x1
W 0.6667 0.3333 0.4001 x1

## Properties
The value obtained for the theoretical density is 10.32 Mg/m³. The value obtained for the energy relative to the lowest polymorph listed for this composition is 0.276 eV per atom. The density of states at the Fermi level comes out at 4.35 states/eV per cell. The calculation puts the energy relative to the elements at 0.794 eV per atom.

No. 7
Computed, not measured: an optimized crystal structure of CaOs2 at the PBE-GGA level of DFT.

Lattice parameters (Å, degrees): 10.2844 2.7974 8.0686 90.00 108.88 90.00
Space group C2/m (No. 12)
Inequivalent atoms, fractional coordinates:
Ca 0.1528 0.0000 0.1212 x4
Os 0.0512 0.5000 0.7293 x4
Os 0.1378 0.0000 0.5072 x4

## Properties
The value obtained for the theoretical density is 12.72 Mg/m³. The density of states at the Fermi level comes out at 12.81 states/eV per cell. The calculation puts the energy relative to the elements at 0.445 eV per atom.

No. 8
Computed, not measured: an optimized crystal structure of AlTeP at the PBE-GGA level of DFT.

Lattice parameters (Å, degrees): 3.3891 3.3891 12.3305 90.00 90.00 90.00
Space group I4mm (No. 107)
Inequivalent atoms, fractional coordinates:
Al 0.0000 0.0000 0.0000 x2
Te 0.0000 0.0000 0.7724 x2
P 0.0000 0.0000 0.5424 x2

## Properties
The value obtained for the theoretical density is 4.35 Mg/m³. The value obtained for the energy relative to the lowest polymorph listed for this composition is 0.034 eV per atom. The density of states at the Fermi level comes out at 3.76 states/eV per cell. The uncorrected formation energy is 0.02 eV per atom.

Respective magnetic moment values: 0.6 2.2 0.0 2.9 0.0 0.0 0.0 0.0 μB/f.u..